[1]
Computed, not measured: a relaxed structure of BaScFe2 at the PBE level of DFT.

POSCAR file:
```
BaScFe2
1.0
0.000 3.515 3.515
3.515 0.000 3.515
3.515 3.515 0.000
Ba Sc Fe
1 1 2
direct
0.000 0.000 0.000
0.500 0.500 0.500
0.250 0.250 0.250
0.750 0.750 0.750
```

**Space group**: Fm-3m, No. 225
**DFT total energy**: -0.2044 hartree per atom
**Energy above the lowest structure with this stoichiometry**: 0.4964 eV per atom
**M_tot**: 3.52 μB per formula unit
**Formation energy**: 733 meV/atom

[2]
Computed, not measured: a relaxed structure of HfTl2AgS4 at the PBE level of DFT.

POSCAR file:
```
HfTl2AgS4
1.0
7.071 0.000 0.000
0.000 3.746 0.000
-2.649 0.000 7.242
Hf Tl Ag S
1 2 1 4
direct
0.000 0.000 0.000
0.000 0.500 0.500
0.500 0.000 0.500
0.500 0.500 0.000
0.199 0.500 0.208
0.259 0.000 0.823
0.741 0.000 0.177
0.801 0.500 0.792
```

**Space group**: P2/m, No. 10
**Formation energy without anion corrections**: -0.6793 eV/atom
**DFT total energy**: -0.1814 hartree per atom
**M_tot**: 0.00 μB per formula unit